Model w:
Material: BaBe2Au
Method: DFT, GGA-PBEsol
State: relaxed

a b c (Å): 4.9100 4.9100 3.0550
angles (deg): 90.00 90.00 90.00
Last column: nearest neighbours and their distance in Å.
Space group P4/mmm (No. 123)
Unique sites:
Ba: 0.0000 0.0000 0.0000 x1  8 Be 2.89, 2 Ba 3.06
Be: 0.0000 0.5000 0.5000 x2  4 Ba 2.89, 4 Au 2.89, 2 Be 3.06
Au: 0.5000 0.5000 0.0000 x1  8 Be 2.89, 2 Au 3.06

=====

Model x:
Material: BaBe2Au
Method: DFT, GGA-PBEsol
State: relaxed

a b c (Å): 5.0833 5.0833 14.3626
angles (deg): 90.00 90.00 90.00
Last column: nearest neighbours and their distance in Å.
Space group I4_1/amd (No. 141, origin choice 2)
Unique sites:
Ba: 0.0000 0.2500 0.3750 x4  8 Be 3.36, 4 Au 3.59
Be: 0.0000 0.0000 0.0000 x8  2 Au 2.20
Au: 0.0000 0.2500 0.8750 x4  4 Be 2.20

=====

Stability, lowest: model w

=====

Model w:
Material: BaAuBr2
Method: DFT, GGA-PBEsol
State: relaxed

a b c (Å): 4.2270 4.9950 5.0937
angles (deg): 90.00 90.00 90.00
Last column: nearest neighbours and their distance in Å.
Space group Pmmm (No. 47)
Unique sites:
Ba: 0.0000 0.0000 0.0000 x1  8 Br 3.27-3.31, 4 Au 3.57
Au: 0.0000 0.5000 0.5000 x1  8 Br 3.27-3.31, 4 Ba 3.57
Br: 0.5000 0.0000 0.5000 x1  4 Au 3.27, 4 Ba 3.31, 4 Br 3.57
Br: 0.5000 0.5000 0.0000 x1  4 Ba 3.27, 4 Au 3.31, 4 Br 3.57

=====

Model x:
Material: BaAuBr2
Method: DFT, GGA-PBEsol
State: relaxed

a b c (Å): 5.1164 5.7146 7.6904
angles (deg): 90.00 90.00 90.00
Last column: nearest neighbours and their distance in Å.
Space group Immm (No. 71)
Unique sites:
Ba: 0.0000 0.0000 0.0000 x2  8 Br 3.33
Au: 0.0000 0.0000 0.5000 x2  4 Br 3.08
Br: 0.0000 0.5000 0.2232 x4  2 Au 3.08, 4 Ba 3.33, 1 Br 3.43

=====

Stability, lowest: model w

=====

Model w:
Material: Ba2AuBr
Method: DFT, GGA-PBEsol
State: relaxed

a b c (Å): 5.2559 6.1910 7.9868
angles (deg): 90.00 90.00 90.00
Last column: nearest neighbours and their distance in Å.
Space group Immm (No. 71)
Unique sites:
Ba: 0.0000 0.0000 0.2465 x4  2 Au 3.28, 4 Br 3.32-3.67
Au: 0.0000 0.5000 0.5000 x2  4 Ba 3.28
Br: 0.0000 0.5000 0.0000 x2  8 Ba 3.32-3.67

=====

Model x:
Material: Ba2AuBr
Method: DFT, GGA-PBEsol
State: relaxed

a b c (Å): 4.5574 4.5574 24.9418
angles (deg): 90.00 90.00 120.00
Last column: nearest neighbours and their distance in Å.
Space group R-3m (No. 166, hexagonal axes)
Unique sites:
Ba: 0.0000 0.0000 0.2408 x6  3 Au 3.22, 3 Br 3.50
Au: 0.0000 0.0000 0.5000 x3  6 Ba 3.22
Br: 0.0000 0.0000 0.0000 x3  6 Ba 3.50

=====

Model y:
Material: Ba2AuBr
Method: DFT, GGA-PBEsol
State: relaxed

a b c (Å): 4.6645 4.6645 6.6668
angles (deg): 90.00 90.00 90.00
Last column: nearest neighbours and their distance in Å.
Space group P4/mmm (No. 123)
Unique sites:
Ba: 0.0000 0.0000 0.0000 x1  4 Br 3.30, 2 Au 3.33
Ba: 0.5000 0.5000 0.5000 x1  4 Au 3.30, 2 Br 3.33
Au: 0.0000 0.0000 0.5000 x1  6 Ba 3.30-3.33
Br: 0.5000 0.5000 0.0000 x1  6 Ba 3.30-3.33

=====

Stability, lowest: model w

=====

Model w:
Material: BaAuSeBr2
Method: DFT, GGA-PBEsol
State: relaxed

a b c (Å): 6.0782 6.0782 6.3803
angles (deg): 90.00 90.00 90.00
Last column: nearest neighbours and their distance in Å.
Space group P4/mmm (No. 123)
Unique sites:
Ba: 0.0000 0.0000 0.0000 x1  4 Br 3.04, 2 Se 3.19
Au: 0.5000 0.5000 0.5000 x1  4 Se 4.30, 8 Br 4.41
Se: 0.0000 0.0000 0.5000 x1  2 Ba 3.19
Br: 0.0000 0.5000 0.0000 x2  2 Ba 3.04

=====

Model x:
Material: BaAuSeBr2
Method: DFT, GGA-PBEsol
State: relaxed

a b c (Å): 5.2404 5.2404 5.2184
angles (deg): 90.00 90.00 90.00
Last column: nearest neighbours and their distance in Å.
Space group P4/mmm (No. 123)
Unique sites:
Ba: 0.0000 0.0000 0.0000 x1  8 Br 3.70, 4 Se 3.71
Au: 0.5000 0.5000 0.5000 x1  2 Se 2.61, 4 Br 2.62
Se: 0.5000 0.5000 0.0000 x1  2 Au 2.61
Br: 0.0000 0.5000 0.5000 x2  2 Au 2.62

=====

Stability, lowest: model w

=====

Model w:
Material: Ba2CaAu
Method: DFT, GGA-PBEsol
State: relaxed

a b c (Å): 3.8925 3.8925 10.1666
angles (deg): 90.00 90.00 90.00
Last column: nearest neighbours and their distance in Å.
Space group P4mm (No. 99)
Unique sites:
Ba: 0.0000 0.0000 0.0000 x1  4 Au 3.41, 1 Ca 3.47
Ba: 0.5000 0.5000 0.3514 x1  4 Ba 3.89, 4 Ca 4.16
Ca: 0.0000 0.0000 0.6584 x1  4 Au 3.11, 1 Ba 3.47
Au: 0.5000 0.5000 0.8013 x1  4 Ca 3.11, 4 Ba 3.41

=====

Model x:
Material: Ba2CaAu
Method: DFT, GGA-PBEsol
State: relaxed

a b c (Å): 3.9831 3.9831 10.0823
angles (deg): 90.00 90.00 90.00
Last column: nearest neighbours and their distance in Å.
Space group P4/mmm (No. 123)
Unique sites:
Ba: 0.0000 0.0000 0.1842 x2  4 Au 3.37, 1 Ba 3.71
Ca: 0.5000 0.5000 0.5000 x1  4 Ca 3.98, 8 Ba 4.25
Au: 0.5000 0.5000 0.0000 x1  8 Ba 3.37

=====

Model y:
Material: Ba2CaAu
Method: DFT, GGA-PBEsol
State: relaxed

a b c (Å): 4.4539 4.4539 31.9944
angles (deg): 90.00 90.00 120.00
Last column: nearest neighbours and their distance in Å.
Space group R-3m (No. 166, hexagonal axes)
Unique sites:
Ba: 0.0000 0.0000 0.2257 x6  3 Au 3.19
Ca: 0.0000 0.0000 0.0000 x3  6 Ba 4.30, 6 Ca 4.45
Au: 0.0000 0.0000 0.5000 x3  6 Ba 3.19

=====

Stability, lowest: model y

=====

Model w:
Material: Ba2CaAu
Method: DFT, GGA-PBEsol
State: relaxed

a b c (Å): 4.1854 5.1211 15.5857
angles (deg): 90.00 90.00 90.00
Last column: nearest neighbours and their distance in Å.
Space group Amm2 (No. 38)
Unique sites:
Ba: 0.0000 0.0000 0.0000 x2  4 Au 3.37
Ba: 0.5000 0.0000 0.3276 x2  1 Au 3.33
Ca: 0.0000 0.0000 0.6797 x2  2 Au 3.01
Au: 0.5000 0.0000 0.5411 x2  2 Ca 3.01, 5 Ba 3.33-3.37

=====

Model x:
Material: Ba2CaAu
Method: DFT, GGA-PBEsol
State: relaxed

a b c (Å): 4.4376 4.4376 31.3528
angles (deg): 90.00 90.00 120.00
Last column: nearest neighbours and their distance in Å.
Space group R3m (No. 160, hexagonal axes)
Unique sites:
Ba: 0.0000 0.0000 0.0000 x3  3 Ca 4.19, 9 Ba 4.44-4.59
Ba: 0.0000 0.0000 0.2120 x3  3 Au 3.20
Ca: 0.0000 0.0000 0.7723 x3  3 Au 2.93
Au: 0.0000 0.0000 0.4842 x3  3 Ca 2.93, 3 Ba 3.20

=====

Model y:
Material: Ba2CaAu
Method: DFT, GGA-PBEsol
State: relaxed

a b c (Å): 3.9796 6.0161 13.0413
angles (deg): 90.00 90.00 90.00
Last column: nearest neighbours and their distance in Å.
Space group Imm2 (No. 44)
Unique sites:
Ba: 0.0000 0.0000 0.0000 x2  4 Au 3.61, 2 Ca 3.82, 4 Ba 3.86-3.98
Ba: 0.0000 0.5000 0.1853 x2  2 Au 3.26
Ca: 0.0000 0.5000 0.8190 x2  2 Au 2.96
Au: 0.0000 0.0000 0.4869 x2  2 Ca 2.96, 2 Ba 3.26

=====

Stability, lowest: model w

=====

Model w:
Material: BaAuS2Cl
Method: DFT, GGA-PBEsol
State: relaxed

a b c (Å): 5.9014 5.9014 5.7124
angles (deg): 90.00 90.00 90.00
Last column: nearest neighbours and their distance in Å.
Space group P4/mmm (No. 123)
Unique sites:
Ba: 0.0000 0.0000 0.0000 x1  2 Cl 2.86, 4 S 2.95
Au: 0.5000 0.5000 0.5000 x1  8 S 4.11, 4 Cl 4.17
S: 0.0000 0.5000 0.0000 x2  2 Ba 2.95
Cl: 0.0000 0.0000 0.5000 x1  2 Ba 2.86

=====

Model x:
Material: BaAuS2Cl
Method: DFT, GGA-PBEsol
State: relaxed

a b c (Å): 4.8656 4.8656 5.0142
angles (deg): 90.00 90.00 90.00
Last column: nearest neighbours and their distance in Å.
Space group P4/mmm (No. 123)
Unique sites:
Ba: 0.0000 0.0000 0.0000 x1  4 Cl 3.44, 8 S 3.49
Au: 0.5000 0.5000 0.5000 x1  4 S 2.43, 2 Cl 2.51
S: 0.0000 0.5000 0.5000 x2  2 Au 2.43
Cl: 0.5000 0.5000 0.0000 x1  2 Au 2.51

=====

Stability, lowest: model w

=====

Model w:
Material: Ba2CuAu
Method: DFT, GGA-PBEsol
State: relaxed

a b c (Å): 4.3330 4.4342 15.2933
angles (deg): 90.00 90.00 90.00
Last column: nearest neighbours and their distance in Å.
Space group Imm2 (No. 44)
Unique sites:
Ba: 0.0000 0.0000 0.0000 x2  2 Au 3.31, 4 Cu 3.33
Ba: 0.0000 0.5000 0.2439 x2  2 Cu 3.32, 4 Au 3.34
Cu: 0.0000 0.0000 0.5795 x2  2 Au 2.56
Au: 0.0000 0.5000 0.6632 x2  2 Cu 2.56

=====

Model x:
Material: Ba2CuAu
Method: DFT, GGA-PBEsol
State: relaxed

a b c (Å): 4.5472 4.5472 24.2235
angles (deg): 90.00 90.00 120.00
Last column: nearest neighbours and their distance in Å.
Space group R3m (No. 160, hexagonal axes)
Unique sites:
Ba: 0.0000 0.0000 0.0000 x3  3 Au 3.33, 3 Cu 3.33
Ba: 0.0000 0.0000 0.1688 x3  3 Cu 3.32, 3 Au 3.33
Cu: 0.0000 0.0000 0.7514 x3  3 Au 2.63
Au: 0.0000 0.0000 0.4176 x3  3 Cu 2.63

=====

Model y:
Material: Ba2CuAu
Method: DFT, GGA-PBEsol
State: relaxed

a b c (Å): 4.5583 4.5583 11.3535
angles (deg): 90.00 90.00 90.00
Last column: nearest neighbours and their distance in Å.
Space group I-4m2 (No. 119)
Unique sites:
Ba: 0.0000 0.0000 0.0000 x2  4 Cu 3.22
Ba: 0.0000 0.5000 0.2500 x2  4 Au 3.22
Cu: 0.0000 0.0000 0.5000 x2  4 Ba 3.22
Au: 0.0000 0.5000 0.7500 x2  4 Ba 3.22

=====

Stability, lowest: model y